Crystalline BaIrO5 at its relaxed geometry, computed with GGA-PBE.

Cell: 4.9179 6.1659 6.9639 Å, 77.53 83.58 89.33°
Fractional positions:
Ba1 0.1064 0.2103 0.1887
Ba2 0.8936 0.7897 0.8113
Ir1 0.4609 0.6842 0.3084
Ir2 0.5391 0.3158 0.6916
O1 0.1960 0.7187 0.1386
O2 0.2701 0.8411 0.4745
O3 0.2892 0.4069 0.4778
O4 0.3255 0.0724 0.8221
O5 0.3365 0.5014 0.8279
O6 0.6635 0.4986 0.1721
O7 0.6745 0.9276 0.1779
O8 0.7108 0.5931 0.5222
O9 0.7299 0.1589 0.5255
O10 0.8040 0.2813 0.8614

Computed properties:
Raw formation energy   -1157 meV/atom
E   -6.24 eV per atom

***

Crystalline BaIr3O at its relaxed geometry, computed with GGA-PBE.

Cell: 4.4536 4.4536 4.4536 Å, 90.00 90.00 90.00°
Fractional positions:
Ba1 0.0000 0.0000 0.0000
Ir1 0.0000 0.5000 0.5000
Ir2 0.5000 0.0000 0.5000
Ir3 0.5000 0.5000 0.0000
O1 0.5000 0.5000 0.5000

Computed properties:
Offset from the most stable computed form   0 meV/atom
Raw formation energy   790 meV/atom
E   -5.90 eV per atom

***

Which of these has the highest raw formation energy? BaIr3O

***

Repeat the second record exactly.
Crystalline BaIr3O at its relaxed geometry, computed with GGA-PBE.

Cell: 4.4536 4.4536 4.4536 Å, 90.00 90.00 90.00°
Fractional positions:
Ba1 0.0000 0.0000 0.0000
Ir1 0.0000 0.5000 0.5000
Ir2 0.5000 0.0000 0.5000
Ir3 0.5000 0.5000 0.0000
O1 0.5000 0.5000 0.5000

Computed properties:
Offset from the most stable computed form   0 meV/atom
Raw formation energy   790 meV/atom
E   -5.90 eV per atom

***

Which of these has the lowest raw formation energy? BaIrO5

***

Among the records above, which one has the highest E? BaIr3O